VASP calculation (PBE) on a relaxed structure of ZrH2Pb.

The space group is Fm-3m (No. 225) and the conventional cell measures 6.055, 6.055 and 6.055 Å, with angles of 90.00, 90.00 and 90.00 degrees. The inequivalent atoms are Zr at (0.000, 0.000, 0.000), H at (0.250, 0.250, 0.250) and Pb at (0.000, 0.000, 0.500).

Its excess energy over the best structure of this formula in the dataset is 614.6 meV per atom. As for the energy: -4.24 eV per atom.


VASP calculation (PBE) on a relaxed structure of Hf2ReWBr.

The space group is P4/mmm (No. 123) and the conventional cell measures 5.142, 5.142 and 4.620 Å, with angles of 90.00, 90.00 and 90.00 degrees. The inequivalent atoms are Hf at (0.000, 0.500, 0.000), Re at (0.000, 0.000, 0.500), W at (0.500, 0.500, 0.000) and Br at (0.500, 0.500, 0.500).

As for the energy: -7.58 eV per atom. The value obtained for the uncorrected formation energy is 1.819 eV/atom.


VASP calculation (PBE) on a relaxed structure of SmScAsO.

The space group is P4/nmm (No. 129, origin choice 2) and the conventional cell measures 4.246, 4.246 and 8.887 Å, with angles of 90.00, 90.00 and 90.00 degrees. The inequivalent atoms are Sm at (0.250, 0.250, 0.116), Sc at (0.250, 0.750, 0.500), As at (0.250, 0.250, 0.685) and O at (0.250, 0.750, 0.000).

As for the energy: -7.20 eV per atom. The value obtained for the uncorrected formation energy is -2.040 eV/atom.


VASP calculation (PBE) on a relaxed structure of U2Ni5As3.

The space group is Cmc2_1 (No. 36) and the conventional cell measures 4.060, 22.328 and 6.774 Å, with angles of 90.00, 90.00 and 90.00 degrees. The inequivalent atoms are U at (0.000, 0.000, 0.000), U at (0.000, 0.334, 0.485), Ni at (0.000, 0.117, 0.294), Ni at (0.000, 0.204, 0.588), Ni at (0.000, 0.227, 0.211), Ni at (0.000, 0.370, 0.024), Ni at (0.000, 0.454, 0.287), As at (0.000, 0.108, 0.734), As at (0.000, 0.268, 0.897) and As at (0.000, 0.437, 0.741).

Its formation enthalpy at 0 K is -0.42 eV/atom. As for the energy: -6.96 eV per atom.


Taking the records one at a time from the top gives spin magnetization values of 0.00; 1.79; 0.42; 3.75 μB per formula unit.